The following is a DFT calculation (GGA-PBE) of NdH3C3O6 after structural relaxation.

- Total DFT energy (no corrections): -7.00 eV/atom
- Size of the total moment: 0.00 Bohr magnetons per cell

The structure in POSCAR format:
```
NdH3C3O6
1.0
6.334 -0.002 -0.006
-2.721 5.720 -0.006
-2.721 -4.307 3.765
C O H Nd
3 6 3 1
Cartesian
1.675 -1.962 1.783
1.675 2.651 0.048
-2.491 0.670 1.783
1.097 1.737 0.736
-3.131 1.054 2.803
-1.213 0.638 1.698
1.097 -0.821 1.698
2.296 -2.375 2.803
2.296 3.633 0.543
-1.106 -1.751 2.714
3.280 0.334 0.888
-1.106 3.105 0.888
0.768 1.216 3.234
```

The following is a DFT calculation (GGA-PBE) of Nd4HCO2 after structural relaxation.

- Total DFT energy (no corrections): -6.68 eV/atom
- Size of the total moment: 0.00 Bohr magnetons per cell

The structure in POSCAR format:
```
Nd4HCO2
1.0
-3.219 -2.147 -3.420
-2.985 -1.680 3.865
0.382 6.301 -0.416
Nd O C H
4 2 1 1
Cartesian
-4.327 3.310 -1.903
-4.522 0.377 0.121
-1.300 2.098 -0.092
-1.613 -1.068 -1.710
-2.853 1.354 1.836
0.000 0.000 0.000
-2.970 1.121 -1.807
-2.720 4.388 -0.193
```

The following is a DFT calculation (GGA-PBE) of Nd4HC2O after structural relaxation.

- Total DFT energy (no corrections): -6.57 eV/atom
- Size of the total moment: 0.00 Bohr magnetons per cell

The structure in POSCAR format:
```
Nd4HC2O
1.0
-3.778 -2.014 -3.003
-0.347 -4.121 3.200
-1.571 5.603 2.771
Nd C O H
4 2 1 1
Cartesian
-0.258 -2.001 1.667
-3.873 -1.804 1.529
-1.822 1.272 1.440
-3.722 0.416 4.403
-0.347 -4.121 3.200
-1.990 -0.793 3.035
-2.062 -3.067 0.099
-3.705 0.261 -0.067
```